1.
The following is a PBE calculation of a relaxed structure of Sm8C3Cl4O, from the Alexandria database.

a b c (Å): 7.4099 8.1786 7.4102
angles (deg): 116.95 120.00 90.00
Positions (direct):
Sm1 0.2306 0.6890 0.9585
Sm2 0.2306 0.6890 0.4612
Sm3 0.2694 0.3082 0.5388
Sm4 0.7279 0.6890 0.9585
Sm5 0.2721 0.3110 0.0415
Sm6 0.7306 0.6918 0.4612
Sm7 0.7694 0.3110 0.5388
Sm8 0.7694 0.3110 0.0415
C1 0.5000 0.5000 0.0000
C2 0.5000 0.5000 0.5000
C3 0.0000 0.5000 0.5000
Cl1 0.5000 0.0000 0.0000
Cl2 0.5000 0.0000 0.5000
Cl3 0.0000 0.0000 0.0000
Cl4 0.0000 0.0000 0.5000
O1 0.0000 0.5000 0.0000

## Properties
Formation energy (no corrections) (kcal/mol of atoms): -30.58
Space group: R-3m

2.
The following is a PBE calculation of a relaxed structure of Sm6C2Cl2O, from the Alexandria database.

a b c (Å): 6.4149 6.4149 7.0084
angles (deg): 99.09 99.09 119.77
Positions (direct):
Sm1 0.7274 0.7274 0.7051
Sm2 0.0742 0.4017 0.7011
Sm3 0.2726 0.2726 0.2949
Sm4 0.4017 0.0742 0.7011
Sm5 0.9258 0.5983 0.2989
Sm6 0.5983 0.9258 0.2989
C1 0.3306 0.6694 0.5000
C2 0.6694 0.3306 0.5000
Cl1 0.8289 0.1711 0.0000
Cl2 0.1711 0.8289 0.0000
O1 0.0000 0.0000 0.5000

## Properties
Formation energy (no corrections) (kcal/mol of atoms): -28.32
Space group: C2/m

3.
The following is a PBE calculation of a relaxed structure of Ta2CClO, from the Alexandria database.

a b c (Å): 4.2833 3.8244 4.2833
angles (deg): 90.00 90.00 90.00
Positions (direct):
C1 0.0000 0.0000 0.0000
Cl1 0.5000 0.5000 0.5000
O1 0.0000 0.5000 0.0000
Ta1 0.0000 0.0000 0.5000
Ta2 0.5000 0.0000 0.0000

## Properties
Formation energy (no corrections) (kcal/mol of atoms): 16.46
Space group: P4/mmm

4.
The following is a PBE calculation of a relaxed structure of Tb6C2Cl3O, from the Alexandria database.

a b c (Å): 6.2757 6.2757 7.1139
angles (deg): 98.47 98.47 120.02
Positions (direct):
Tb1 0.9376 0.6024 0.8127
Tb2 0.7274 0.7274 0.1874
Tb3 0.0624 0.3976 0.1873
Tb4 0.6024 0.9376 0.8127
Tb5 0.2726 0.2726 0.8126
Tb6 0.3976 0.0624 0.1873
C1 0.3336 0.6664 0.0000
C2 0.6664 0.3336 0.0000
Cl1 0.1695 0.8305 0.5000
Cl2 0.8305 0.1695 0.5000
Cl3 0.5000 0.5000 0.5000
O1 0.0000 0.0000 0.0000

## Properties
Formation energy (no corrections) (kcal/mol of atoms): -33.06
Space group: C2/m

5.
The following is a PBE calculation of a relaxed structure of Tl2CClO2, from the Alexandria database.

a b c (Å): 6.0028 7.0856 7.9247
angles (deg): 116.56 90.00 90.00
Positions (direct):
Tl1 0.8427 0.9090 0.6021
Tl2 0.8427 0.3069 0.3979
Tl3 0.3427 0.0910 0.3979
Tl4 0.3427 0.6931 0.6021
C1 0.8218 0.6467 0.0000
C2 0.3218 0.3533 0.0000
Cl1 0.8226 0.1780 0.0000
Cl2 0.3226 0.8220 0.0000
O1 0.8217 0.7291 0.1658
O2 0.8217 0.5633 0.8342
O3 0.3217 0.4367 0.1658
O4 0.3217 0.2709 0.8342

## Properties
Formation energy (no corrections) (kcal/mol of atoms): -19.20
Space group: Cmc2_1

6.
The following is a PBE calculation of a relaxed structure of Y6C2Cl3O, from the Alexandria database.

a b c (Å): 6.2816 6.2816 7.0838
angles (deg): 98.51 98.51 120.01
Positions (direct):
Y1 0.9381 0.6022 0.8141
Y2 0.7263 0.7263 0.1858
Y3 0.0619 0.3978 0.1859
Y4 0.6022 0.9381 0.8141
Y5 0.2737 0.2737 0.8142
Y6 0.3978 0.0619 0.1859
C1 0.3335 0.6665 0.0000
C2 0.6665 0.3335 0.0000
Cl1 0.1683 0.8317 0.5000
Cl2 0.8317 0.1683 0.5000
Cl3 0.5000 0.5000 0.5000
O1 0.0000 0.0000 0.0000

## Properties
Formation energy (no corrections) (kcal/mol of atoms): -32.75
Space group: C2/m

7.
The following is a PBE calculation of a relaxed structure of Y6C2Cl2O, from the Alexandria database.

a b c (Å): 6.2787 6.2787 6.7592
angles (deg): 99.08 99.08 119.66
Positions (direct):
Y1 0.7227 0.7227 0.7048
Y2 0.0741 0.4020 0.7009
Y3 0.2773 0.2773 0.2952
Y4 0.4020 0.0741 0.7009
Y5 0.9259 0.5980 0.2991
Y6 0.5980 0.9259 0.2991
C1 0.3299 0.6701 0.5000
C2 0.6701 0.3299 0.5000
Cl1 0.8316 0.1684 0.0000
Cl2 0.1684 0.8316 0.0000
O1 0.0000 0.0000 0.5000

## Properties
Formation energy (no corrections) (kcal/mol of atoms): -29.22
Space group: C2/m

8.
The following is a PBE calculation of a relaxed structure of OsC3Cl, from the Alexandria database.

a b c (Å): 3.6236 3.6236 3.6236
angles (deg): 90.00 90.00 90.00
Positions (direct):
C1 0.0000 0.5000 0.0000
C2 0.0000 0.0000 0.5000
C3 0.5000 0.0000 0.0000
Os1 0.5000 0.5000 0.5000
Cl1 0.0000 0.0000 0.0000

## Properties
Formation energy (no corrections) (kcal/mol of atoms): 80.21
Space group: Pm-3m

9.
The following is a PBE calculation of a relaxed structure of OsC2Cl, from the Alexandria database.

a b c (Å): 6.0766 6.0766 6.0805
angles (deg): 60.02 60.02 90.00
Positions (direct):
C1 0.8746 0.1250 0.2500
C2 0.8754 0.6250 0.2500
C3 0.3750 0.1254 0.7500
C4 0.8750 0.1246 0.7500
Os1 0.0000 0.0000 0.0000
Os2 0.7500 0.2500 0.5000
Cl1 0.5000 0.5000 0.0000
Cl2 0.2500 0.7500 0.5000

## Properties
Formation energy (no corrections) (kcal/mol of atoms): 30.23
Space group: Fd-3m

10.
The following is a PBE calculation of a relaxed structure of OsCCl3, from the Alexandria database.

a b c (Å): 4.7124 4.7124 4.7124
angles (deg): 90.00 90.00 90.00
Positions (direct):
C1 0.5000 0.5000 0.5000
Os1 0.0000 0.0000 0.0000
Cl1 0.0000 0.5000 0.0000
Cl2 0.0000 0.0000 0.5000
Cl3 0.5000 0.0000 0.0000

## Properties
Formation energy (no corrections) (kcal/mol of atoms): 39.78
Space group: Pm-3m

11.
The following is a PBE calculation of a relaxed structure of OsCCl3, from the Alexandria database.

a b c (Å): 4.4439 4.4439 4.4439
angles (deg): 90.00 90.00 90.00
Last column: magnetic moment on the atom in μB.
Positions (direct):
C1 0.0000 0.0000 0.0000  0.13
Os1 0.5000 0.5000 0.5000  3.14
Cl1 0.0000 0.5000 0.0000  0.10
Cl2 0.0000 0.0000 0.5000  0.06
Cl3 0.5000 0.0000 0.0000  0.08

## Properties
Formation energy (no corrections) (kcal/mol of atoms): 45.91
Space group: Pm-3m

12.
The following is a PBE calculation of a relaxed structure of OsC2Cl2, from the Alexandria database.

a b c (Å): 5.7699 5.7699 4.6477
angles (deg): 90.00 90.00 90.00
Positions (direct):
C1 0.2411 0.7411 0.0000
C2 0.7411 0.7589 0.0000
C3 0.7589 0.2589 0.0000
C4 0.2589 0.2411 0.0000
Os1 0.0000 0.0000 0.0000
Os2 0.5000 0.5000 0.0000
Cl1 0.1949 0.6949 0.5000
Cl2 0.6949 0.8051 0.5000
Cl3 0.8051 0.3051 0.5000
Cl4 0.3051 0.1949 0.5000

## Properties
Formation energy (no corrections) (kcal/mol of atoms): 39.22
Space group: P4/mbm

13.
The following is a PBE calculation of a relaxed structure of OsC3Cl, from the Alexandria database.

a b c (Å): 4.0346 4.0346 4.0346
angles (deg): 90.00 90.00 90.00
Positions (direct):
C1 0.0000 0.5000 0.0000
C2 0.0000 0.0000 0.5000
C3 0.5000 0.0000 0.0000
Os1 0.0000 0.0000 0.0000
Cl1 0.5000 0.5000 0.5000

## Properties
Formation energy (no corrections) (kcal/mol of atoms): 43.60
Space group: Pm-3m

14.
The following is a PBE calculation of a relaxed structure of OsC2Cl2, from the Alexandria database.

a b c (Å): 6.6766 6.6766 5.3742
angles (deg): 51.60 51.60 90.00
Last column: magnetic moment on the atom in μB.
Positions (direct):
C1 0.3740 0.3740 0.2520  -0.02
C2 0.6260 0.6260 0.7480  -0.02
Os1 0.0000 0.0000 0.0000  2.56
Cl1 0.7500 0.2500 0.5000  0.08
Cl2 0.2500 0.7500 0.5000  0.08

## Properties
Formation energy (no corrections) (kcal/mol of atoms): 35.42
Space group: I4/mmm

15.
The following is a PBE calculation of a relaxed structure of OsC2Cl, from the Alexandria database.

a b c (Å): 3.9076 3.9076 3.9076
angles (deg): 60.00 60.00 60.00
Positions (direct):
C1 0.2500 0.2500 0.2500
C2 0.7500 0.7500 0.7500
Os1 0.5000 0.5000 0.5000
Cl1 0.0000 0.0000 0.0000

## Properties
Formation energy (no corrections) (kcal/mol of atoms): 67.22
Space group: Fm-3m

16.
The following is a PBE calculation of a relaxed structure of P2OsCCl, from the Alexandria database.

a b c (Å): 3.9310 3.9310 4.1313
angles (deg): 90.00 90.00 90.00
Positions (direct):
P1 0.0000 0.5000 0.0000
P2 0.5000 0.0000 0.0000
C1 0.0000 0.0000 0.0000
Os1 0.5000 0.5000 0.5000
Cl1 0.0000 0.0000 0.5000

## Properties
Formation energy (no corrections) (kcal/mol of atoms): 34.98
Space group: P4/mmm

17.
The following is a PBE calculation of a relaxed structure of POsCCl2, from the Alexandria database.

a b c (Å): 4.1367 4.1367 4.0363
angles (deg): 90.00 90.00 90.00
Last column: magnetic moment on the atom in μB.
Positions (direct):
P1 0.0000 0.0000 0.5000  -0.01
C1 0.0000 0.0000 0.0000  0.00
Os1 0.5000 0.5000 0.5000  0.16
Cl1 0.0000 0.5000 0.0000  0.01
Cl2 0.5000 0.0000 0.0000  0.01

## Properties
Formation energy (no corrections) (kcal/mol of atoms): 44.39
Space group: P4/mmm

18.
The following is a PBE calculation of a relaxed structure of P2OsCCl, from the Alexandria database.

a b c (Å): 4.5124 4.5124 5.0348
angles (deg): 90.00 90.00 90.00
Last column: magnetic moment on the atom in μB.
Positions (direct):
P1 0.0000 0.5000 0.0000  -0.08
P2 0.5000 0.0000 0.0000  -0.08
C1 0.5000 0.5000 0.5000  0.87
Os1 0.0000 0.0000 0.0000  0.13
Cl1 0.0000 0.0000 0.5000  0.01

## Properties
Formation energy (no corrections) (kcal/mol of atoms): 40.78
Space group: P4/mmm

19.
The following is a PBE calculation of a relaxed structure of POsCCl2, from the Alexandria database.

a b c (Å): 4.8733 4.8733 4.5005
angles (deg): 90.00 90.00 90.00
Last column: magnetic moment on the atom in μB.
Positions (direct):
P1 0.0000 0.0000 0.5000  -0.10
C1 0.5000 0.5000 0.5000  0.89
Os1 0.0000 0.0000 0.0000  0.16
Cl1 0.0000 0.5000 0.0000  -0.01
Cl2 0.5000 0.0000 0.0000  -0.01

## Properties
Formation energy (no corrections) (kcal/mol of atoms): 39.55
Space group: P4/mmm

20.
The following is a PBE calculation of a relaxed structure of Pr6Os2CCl3, from the Alexandria database.

a b c (Å): 7.0534 7.0534 7.8182
angles (deg): 98.53 98.53 120.06
Positions (direct):
Pr1 0.9364 0.6238 0.8025
Pr2 0.7474 0.7474 0.1959
Pr3 0.0636 0.3762 0.1975
Pr4 0.6238 0.9364 0.8025
Pr5 0.2526 0.2526 0.8041
Pr6 0.3762 0.0636 0.1975
Os1 0.3318 0.6682 0.0000
Os2 0.6682 0.3318 0.0000
C1 0.0000 0.0000 0.0000
Cl1 0.1595 0.8405 0.5000
Cl2 0.8405 0.1595 0.5000
Cl3 0.5000 0.5000 0.5000

## Properties
Formation energy (no corrections) (kcal/mol of atoms): -18.25
Space group: C2/m

21.
The following is a PBE calculation of a relaxed structure of Os2PtCCl, from the Alexandria database.

a b c (Å): 4.9993 4.7482 4.9993
angles (deg): 90.00 90.00 90.00
Last column: magnetic moment on the atom in μB.
Positions (direct):
C1 0.5000 0.5000 0.5000  -0.81
Os1 0.0000 0.0000 0.5000  2.98
Os2 0.5000 0.0000 0.0000  2.36
Pt1 0.0000 0.0000 0.0000  0.39
Cl1 0.0000 0.5000 0.0000  0.02

## Properties
Formation energy (no corrections) (kcal/mol of atoms): 75.50
Space group: P4/mmm

22.
The following is a PBE calculation of a relaxed structure of OsCSeCl2, from the Alexandria database.

a b c (Å): 5.1480 4.6499 5.1480
angles (deg): 90.00 90.00 90.00
Last column: magnetic moment on the atom in μB.
Positions (direct):
C1 0.5000 0.5000 0.5000  0.85
Os1 0.0000 0.5000 0.0000  0.04
Se1 0.0000 0.0000 0.0000  0.00
Cl1 0.0000 0.0000 0.5000  0.04
Cl2 0.5000 0.0000 0.0000  0.03

## Properties
Formation energy (no corrections) (kcal/mol of atoms): 54.49
Space group: P4/mmm

23.
The following is a PBE calculation of a relaxed structure of OsC2SeCl, from the Alexandria database.

a b c (Å): 3.8602 4.6927 3.8602
angles (deg): 90.00 90.00 90.00
Positions (direct):
C1 0.0000 0.0000 0.5000
C2 0.5000 0.0000 0.0000
Os1 0.5000 0.5000 0.5000
Se1 0.0000 0.0000 0.0000
Cl1 0.0000 0.5000 0.0000

## Properties
Formation energy (no corrections) (kcal/mol of atoms): 68.45
Space group: P4/mmm

24.
The following is a PBE calculation of a relaxed structure of SiOsC2Cl, from the Alexandria database.

a b c (Å): 3.6444 5.1000 3.6444
angles (deg): 90.00 90.00 90.00
Last column: magnetic moment on the atom in μB.
Positions (direct):
Si1 0.0000 0.0000 0.0000  0.00
Os1 0.0000 0.5000 0.0000  0.64
C1 0.0000 0.0000 0.5000  0.00
C2 0.5000 0.0000 0.0000  0.02
Cl1 0.5000 0.5000 0.5000  0.02

## Properties
Formation energy (no corrections) (kcal/mol of atoms): 46.15
Space group: P4/mmm

25.
The following is a PBE calculation of a relaxed structure of TcOs2CCl, from the Alexandria database.

a b c (Å): 3.9029 3.9029 5.1617
angles (deg): 90.00 90.00 90.00
Last column: magnetic moment on the atom in μB.
Positions (direct):
C1 0.0000 0.0000 0.0000  0.03
Os1 0.0000 0.5000 0.0000  -0.31
Os2 0.5000 0.0000 0.0000  -0.31
Tc1 0.5000 0.5000 0.5000  2.26
Cl1 0.0000 0.0000 0.5000  -0.02

## Properties
Formation energy (no corrections) (kcal/mol of atoms): 32.42
Space group: P4/mmm

no.,V (A^3/atom),DOS at the Fermi energy (states/eV/atom)
1,20.71,0.376
2,21.60,0.500
3,14.03,1.029
4,19.32,0.187
5,25.13,0.194
6,19.27,0.231
7,19.98,0.469
8,9.52,0.763
9,19.86,0.850
10,20.93,1.533
11,17.55,0.850
12,15.47,0.455
13,13.14,0.471
14,22.89,0.410
15,10.55,0.905
16,12.77,0.309
17,13.81,0.842
18,20.50,0.695
19,21.38,0.974
20,26.79,0.782
21,23.73,0.871
22,24.65,1.819
23,13.99,0.551
24,13.55,0.852
25,15.73,1.185